# Tc2TeSe | Alexandria | SCAN | single point on PBEsol structure
data_Tc2TeSe
_cell_length_a 3.092
_cell_length_b 4.993
_cell_length_c 9.752
_cell_angle_alpha 90.00
_cell_angle_beta 90.00
_cell_angle_gamma 90.00
_space_group_name_H-M_alt 'C m m 2'
_space_group_IT_number 35
loop_
_space_group_symop_operation_xyz
'x,y,z'
'-x,-y,z'
'-x,y,z'
'x,-y,z'
'x+1/2,y+1/2,z'
'-x+1/2,-y+1/2,z'
'-x+1/2,y+1/2,z'
'x+1/2,-y+1/2,z'
loop_
_atom_site_label
_atom_site_fract_x
_atom_site_fract_y
_atom_site_fract_z
Tc1 0.000 0.000 0.000
Tc2 0.000 0.500 0.200
Te1 0.000 0.000 0.439
Se1 0.000 0.500 0.790
# - Relative energy among the computed polymorphs: 471 meV/atom
# - E_form (uncorrected): 2.09 eV/f.u.
# - Fermi-level density of states: 7.65 states/eV per cell
# - Magnetic moment: 0.00 Bohr magnetons per cell